Record 1
Material: V3ZnO7
Method: DFT, meta-GGA SCAN
State: single point on PBEsol structure

Structure (POSCAR):
```
V3ZnO7
1.0
9.998 0.000 0.000
0.000 10.036 0.000
0.000 0.000 5.325
V Zn O
12 4 28
direct
0.188 0.030 0.236
0.188 0.470 0.236
0.221 0.250 0.727
0.279 0.750 0.227
0.312 0.530 0.736
0.312 0.970 0.736
0.688 0.030 0.264
0.688 0.470 0.264
0.721 0.250 0.773
0.779 0.750 0.273
0.812 0.530 0.764
0.812 0.970 0.764
0.056 0.750 0.608
0.444 0.250 0.108
0.556 0.750 0.892
0.944 0.250 0.392
0.037 0.096 0.238
0.037 0.404 0.238
0.057 0.250 0.713
0.208 0.621 0.473
0.208 0.879 0.473
0.220 0.614 0.006
0.220 0.886 0.006
0.280 0.114 0.506
0.280 0.386 0.506
0.292 0.121 0.973
0.292 0.379 0.973
0.443 0.750 0.213
0.463 0.596 0.738
0.463 0.904 0.738
0.537 0.096 0.262
0.537 0.404 0.262
0.557 0.250 0.787
0.708 0.621 0.027
0.708 0.879 0.027
0.720 0.614 0.494
0.720 0.886 0.494
0.780 0.114 0.994
0.780 0.386 0.994
0.792 0.121 0.527
0.792 0.379 0.527
0.943 0.750 0.287
0.963 0.596 0.762
0.963 0.904 0.762
```

Output
ΔE_f (raw), meV/atom: -2412.2

Record 2
Material: VZnO3
Method: DFT, meta-GGA SCAN
State: single point on PBEsol structure

Structure (POSCAR):
```
VZnO3
1.0
5.106 0.000 0.000
0.000 7.356 0.000
0.000 0.000 5.038
V Zn O
4 4 12
direct
0.000 0.000 0.000
0.000 0.500 0.000
0.500 0.000 0.500
0.500 0.500 0.500
0.042 0.250 0.498
0.458 0.750 0.998
0.542 0.250 0.002
0.958 0.750 0.502
0.054 0.750 0.116
0.187 0.560 0.680
0.187 0.940 0.680
0.313 0.060 0.180
0.313 0.440 0.180
0.446 0.250 0.616
0.554 0.750 0.384
0.687 0.560 0.820
0.687 0.940 0.820
0.813 0.060 0.320
0.813 0.440 0.320
0.946 0.250 0.884
```

Output
ΔE_f (raw), meV/atom: -2158.7

Record 3
Material: V2Zn2O7
Method: DFT, meta-GGA SCAN
State: single point on PBEsol structure

Structure (POSCAR):
```
V2Zn2O7
1.0
3.211 -4.253 0.000
3.211 4.253 0.000
-1.209 0.000 4.838
V Zn O
2 2 7
direct
0.242 0.242 0.397
0.758 0.758 0.603
0.315 0.685 0.000
0.685 0.315 0.000
0.000 0.000 0.500
0.056 0.391 0.208
0.391 0.056 0.208
0.426 0.426 0.723
0.574 0.574 0.277
0.609 0.944 0.792
0.944 0.609 0.792
```

Output
ΔE_f (raw), meV/atom: -2216.7

Record 4
Material: V2Zn3O8
Method: DFT, meta-GGA SCAN
State: single point on PBEsol structure

Structure (POSCAR):
```
V2Zn3O8
1.0
3.024 -5.766 0.000
3.024 5.766 0.000
0.000 0.000 8.252
V Zn O
4 6 16
direct
0.122 0.878 0.880
0.378 0.622 0.380
0.622 0.378 0.620
0.878 0.122 0.120
0.000 0.000 0.500
0.114 0.386 0.750
0.386 0.114 0.250
0.500 0.500 0.000
0.614 0.886 0.750
0.886 0.614 0.250
0.000 0.000 0.254
0.000 0.000 0.746
0.111 0.348 0.001
0.152 0.389 0.499
0.250 0.750 0.273
0.250 0.750 0.773
0.348 0.111 0.999
0.389 0.152 0.501
0.500 0.500 0.246
0.500 0.500 0.754
0.611 0.848 0.499
0.652 0.889 0.001
0.750 0.250 0.227
0.750 0.250 0.727
0.848 0.611 0.501
0.889 0.652 0.999
```

Output
ΔE_f (raw), meV/atom: -2142.9

Record 5
Material: ZrV2O7
Method: DFT, meta-GGA SCAN
State: single point on PBEsol structure

Structure (POSCAR):
```
ZrV2O7
1.0
8.917 0.000 0.000
0.000 8.917 0.000
0.000 0.000 8.917
Zr V O
4 8 28
direct
0.000 0.000 0.000
0.000 0.500 0.500
0.500 0.000 0.500
0.500 0.500 0.000
0.114 0.614 0.886
0.114 0.886 0.386
0.386 0.114 0.886
0.386 0.386 0.386
0.614 0.614 0.614
0.614 0.886 0.114
0.886 0.114 0.614
0.886 0.386 0.114
0.000 0.000 0.500
0.000 0.500 0.000
0.064 0.705 0.410
0.064 0.795 0.910
0.090 0.564 0.705
0.090 0.936 0.205
0.205 0.090 0.936
0.205 0.410 0.436
0.295 0.590 0.936
0.295 0.910 0.436
0.410 0.064 0.705
0.410 0.436 0.205
0.436 0.205 0.410
0.436 0.295 0.910
0.500 0.000 0.000
0.500 0.500 0.500
0.564 0.705 0.090
0.564 0.795 0.590
0.590 0.564 0.795
0.590 0.936 0.295
0.705 0.090 0.564
0.705 0.410 0.064
0.795 0.590 0.564
0.795 0.910 0.064
0.910 0.064 0.795
0.910 0.436 0.295
0.936 0.205 0.090
0.936 0.295 0.590
```

Output
ΔE_f (raw), meV/atom: -2908.7

Record 6
Material: Y2W2O7
Method: DFT, meta-GGA SCAN
State: single point on PBEsol structure

Structure (POSCAR):
```
Y2W2O7
1.0
3.628 2.094 5.832
-3.628 2.094 5.832
0.000 -4.189 5.832
Y W O
4 4 14
direct
0.000 0.000 0.000
0.000 0.000 0.500
0.000 0.500 0.000
0.500 0.000 0.000
0.000 0.500 0.500
0.500 0.000 0.500
0.500 0.500 0.000
0.500 0.500 0.500
0.125 0.125 0.125
0.158 0.593 0.593
0.162 0.162 0.590
0.162 0.590 0.162
0.407 0.407 0.842
0.407 0.842 0.407
0.410 0.838 0.838
0.590 0.162 0.162
0.593 0.158 0.593
0.593 0.593 0.158
0.838 0.410 0.838
0.838 0.838 0.410
0.842 0.407 0.407
0.875 0.875 0.875
```

Output
ΔE_f (raw), meV/atom: -2789.6

Record 7
Material: Y2W2O9
Method: DFT, meta-GGA SCAN
State: single point on PBEsol structure

Structure (POSCAR):
```
Y2W2O9
1.0
5.792 -7.693 0.000
5.792 7.693 0.000
0.000 0.000 7.090
Y W O
8 8 36
direct
0.122 0.410 0.999
0.227 0.773 0.250
0.227 0.773 0.750
0.410 0.122 0.001
0.590 0.878 0.501
0.773 0.227 0.250
0.773 0.227 0.750
0.878 0.590 0.499
0.048 0.048 0.000
0.145 0.392 0.500
0.392 0.145 0.500
0.500 0.500 0.250
0.500 0.500 0.750
0.608 0.855 0.000
0.855 0.608 0.000
0.952 0.952 0.500
0.000 0.000 0.250
0.000 0.000 0.750
0.030 0.328 0.294
0.030 0.328 0.706
0.090 0.848 0.500
0.111 0.577 0.500
0.152 0.910 0.000
0.204 0.204 0.000
0.208 0.632 0.000
0.225 0.225 0.500
0.303 0.476 0.312
0.303 0.476 0.689
0.328 0.030 0.294
0.328 0.030 0.706
0.368 0.792 0.500
0.423 0.889 0.000
0.440 0.440 0.000
0.476 0.303 0.311
0.476 0.303 0.688
0.524 0.697 0.188
0.524 0.697 0.811
0.560 0.560 0.500
0.577 0.111 0.500
0.632 0.208 0.000
0.672 0.970 0.206
0.672 0.970 0.794
0.697 0.524 0.189
0.697 0.524 0.812
0.775 0.775 0.000
0.792 0.368 0.500
0.796 0.796 0.500
0.848 0.090 0.500
0.889 0.423 0.000
0.910 0.152 0.000
0.970 0.672 0.206
0.970 0.672 0.794
```

Output
ΔE_f (raw), meV/atom: -2933.5

Record 8
Material: Y2W2O9
Method: DFT, meta-GGA SCAN
State: single point on PBEsol structure

Structure (POSCAR):
```
Y2W2O9
1.0
6.628 0.000 0.000
0.888 6.918 0.000
0.718 2.292 6.893
Y W O
4 4 18
direct
0.114 0.288 0.377
0.352 0.737 0.843
0.648 0.263 0.157
0.886 0.712 0.623
0.229 0.264 0.947
0.341 0.792 0.368
0.659 0.208 0.632
0.771 0.736 0.053
0.007 0.757 0.905
0.131 0.642 0.376
0.176 0.494 0.747
0.183 0.912 0.544
0.237 0.055 0.852
0.317 0.433 0.090
0.351 0.071 0.220
0.457 0.305 0.466
0.463 0.741 0.140
0.537 0.259 0.860
0.543 0.695 0.534
0.649 0.929 0.780
0.683 0.567 0.910
0.763 0.945 0.148
0.817 0.088 0.456
0.824 0.506 0.253
0.869 0.358 0.624
0.993 0.243 0.095
```

Output
ΔE_f (raw), meV/atom: -2964.2

The highest ΔE_f (raw) belongs to which entry? V2Zn3O8